First-principles (PBE-GGA) data for a relaxed structure of Li3Ag5Sn2, as listed in Alexandria via LeMat-Bulk.

abc: 10.500 14.214 5.362
angles: 90.00 90.00 90.00
Space group Ibam (No. 72)
Inequivalent atoms, fractional coordinates:
Li (0.000, 0.000, 0.250) x4
Li (0.097, 0.328, 0.000) x8
Ag (0.000, 0.500, 0.250) x4
Ag (0.210, 0.329, 0.500) x8
Ag (0.242, 0.000, 0.250) x8
Sn (0.097, 0.159, 0.500) x8

Computed properties:
ΔH_f (0 K)	-0.07	eV/atom
crystal system	orthorhombic
total magnetization	0.0	μB per cell
calculated total energy	-2.870	eV per atom